Computed, not measured: an optimized crystal structure of AlCdRe2 at the PBEsol level of DFT.

## Properties
ρ = 13.640 Mg/m³
E_form = 51 kJ/mol of atoms
calculated volume = 15.58 A^3/atom

Cell lengths 3.8220, 3.8220, 8.5308 Å; angles 90.00, 90.00, 90.00 degrees
Closest atoms and distances in Å follow each position.
Fractional positions:
Al  0.0000  0.0000  0.0000  4 Cd 2.70, 8 Re 2.86
Al  0.5000  0.5000  0.5000  4 Cd 2.70, 8 Re 2.86
Cd  0.0000  0.0000  0.5000  4 Al 2.70, 8 Re 2.86
Cd  0.5000  0.5000  0.0000  4 Al 2.70, 8 Re 2.86
Re  0.0000  0.5000  0.2500  4 Re 2.70, 4 Cd 2.86, 4 Al 2.86
Re  0.0000  0.5000  0.7500  4 Re 2.70, 4 Al 2.86, 4 Cd 2.86
Re  0.5000  0.0000  0.2500  4 Re 2.70, 4 Cd 2.86, 4 Al 2.86
Re  0.5000  0.0000  0.7500  4 Re 2.70, 4 Al 2.86, 4 Cd 2.86

Computed, not measured: an optimized crystal structure of Tc5Ru at the PBEsol level of DFT.

## Properties
ρ = 11.836 Mg/m³
E_form = -3 kJ/mol of atoms
calculated volume = 13.82 A^3/atom

Cell lengths 9.8575, 2.7073, 6.4031 Å; angles 90.00, 103.95, 90.00 degrees
Closest atoms and distances in Å follow each position.
Fractional positions:
Tc  0.0000  0.0000  0.0000  10 Tc 2.65-2.74, 2 Ru 2.72
Tc  0.0561  0.0000  0.6120  10 Tc 2.64-2.72, 2 Ru 2.66
Tc  0.2210  0.5000  0.9475  11 Tc 2.65-2.72, 1 Ru 2.67
Tc  0.3306  0.0000  0.6649  10 Tc 2.64-2.74, 2 Ru 2.70
Tc  0.3873  0.0000  0.2804  9 Tc 2.65-2.72, 3 Ru 2.67-2.68
Tc  0.5000  0.5000  0.0000  10 Tc 2.65-2.74, 2 Ru 2.72
Tc  0.5561  0.5000  0.6120  10 Tc 2.64-2.72, 2 Ru 2.66
Tc  0.7210  0.0000  0.9475  11 Tc 2.65-2.72, 1 Ru 2.67
Tc  0.8306  0.5000  0.6649  10 Tc 2.64-2.74, 2 Ru 2.70
Tc  0.8873  0.5000  0.2804  9 Tc 2.65-2.72, 3 Ru 2.67-2.68
Ru  0.1653  0.5000  0.3350  10 Tc 2.66-2.72, 2 Ru 2.71
Ru  0.6653  0.0000  0.3350  10 Tc 2.66-2.72, 2 Ru 2.71

Computed, not measured: an optimized crystal structure of LiMn2O3F at the PBEsol level of DFT.

## Properties
ρ = 4.260 Mg/m³
calculated volume = 10.24 A^3/atom
formation energy from raw total energies = -1895 meV/atom

Cell lengths 7.7239, 7.7239, 7.7239 Å; angles 135.08, 83.56, 113.83 degrees
Closest atoms and distances in Å follow each position.
Fractional positions:
Li  0.1248  0.0000  0.1248  2 F 1.84-1.88, 2 O 1.97
Li  0.1624  0.7922  0.3702  1 F 1.85, 3 O 1.94-2.01
Li  0.4220  0.7922  0.6298  1 F 1.85, 3 O 1.94-2.01
Li  0.8752  0.0000  0.8752  2 F 1.84-1.88, 2 O 1.97
Mn  0.1619  0.4116  0.7503  5 O 1.92-2.08
Mn  0.3770  0.3770  0.0000  4 O 1.95, 1 F 2.04
Mn  0.5311  0.4099  0.6365  5 O 1.93-2.06, 1 F 2.09
Mn  0.5311  0.8946  0.1213  5 O 1.93-2.06, 1 F 2.09
Mn  0.6613  0.4116  0.2497  5 O 1.92-2.08
Mn  0.7734  0.4099  0.8787  5 O 1.93-2.06, 1 F 2.09
Mn  0.7734  0.8946  0.3635  5 O 1.93-2.06, 1 F 2.09
Mn  0.9236  0.4236  0.5000  4 O 1.97, 1 F 2.01
O  0.0055  0.1640  0.4124  3 Mn 1.92-1.97, 1 Li 1.97
O  0.0055  0.5931  0.8415  3 Mn 1.92-1.97, 1 Li 1.97
O  0.2987  0.2068  0.6608  3 Mn 1.93-1.95, 1 Li 2.01
O  0.2987  0.6379  0.0919  3 Mn 1.93-1.95, 1 Li 2.01
O  0.4227  0.6569  0.7658  3 Mn 1.94-2.08, 1 Li 1.94
O  0.5460  0.2068  0.9081  3 Mn 1.93-1.95, 1 Li 2.01
O  0.5460  0.6379  0.3392  3 Mn 1.93-1.95, 1 Li 2.01
O  0.6445  0.1445  0.5000  4 Mn 2.06
O  0.6658  0.6658  0.0000  4 Mn 2.00
O  0.7516  0.1640  0.1585  3 Mn 1.92-1.97, 1 Li 1.97
O  0.7516  0.5931  0.5876  3 Mn 1.92-1.97, 1 Li 1.97
O  0.8911  0.6569  0.2342  3 Mn 1.94-2.08, 1 Li 1.94
F  0.1354  0.1354  0.0000  2 Li 1.84, 1 Mn 2.04
F  0.1622  0.6622  0.5000  2 Li 1.85, 1 Mn 2.01
F  0.3897  0.1346  0.2551  1 Li 1.88, 2 Mn 2.09
F  0.8795  0.1346  0.7449  1 Li 1.88, 2 Mn 2.09

Computed, not measured: an optimized crystal structure of ScNbGa2 at the PBEsol level of DFT.

## Properties
ρ = 6.786 Mg/m³
E_form = -30 kJ/mol of atoms
calculated volume = 16.96 A^3/atom

Cell lengths 6.4748, 6.4748, 6.4748 Å; angles 90.00, 90.00, 90.00 degrees
Closest atoms and distances in Å follow each position.
Fractional positions:
Sc  0.0000  0.0000  0.0000  8 Ga 2.80
Sc  0.0000  0.5000  0.5000  8 Ga 2.80
Sc  0.5000  0.0000  0.5000  8 Ga 2.80
Sc  0.5000  0.5000  0.0000  8 Ga 2.80
Nb  0.0000  0.0000  0.5000  8 Ga 2.80
Nb  0.0000  0.5000  0.0000  8 Ga 2.80
Nb  0.5000  0.0000  0.0000  8 Ga 2.80
Nb  0.5000  0.5000  0.5000  8 Ga 2.80
Ga  0.2500  0.2500  0.2500  4 Nb 2.80, 4 Sc 2.80
Ga  0.2500  0.2500  0.7500  4 Nb 2.80, 4 Sc 2.80
Ga  0.2500  0.7500  0.2500  4 Sc 2.80, 4 Nb 2.80
Ga  0.2500  0.7500  0.7500  4 Nb 2.80, 4 Sc 2.80
Ga  0.7500  0.2500  0.2500  4 Sc 2.80, 4 Nb 2.80
Ga  0.7500  0.2500  0.7500  4 Nb 2.80, 4 Sc 2.80
Ga  0.7500  0.7500  0.2500  4 Nb 2.80, 4 Sc 2.80
Ga  0.7500  0.7500  0.7500  4 Sc 2.80, 4 Nb 2.80